Here is a relaxed PrNdGe2Pt4 crystal from OQMD. Energies are from PBE.

Computed properties:
Final energy in eV per formula unit: -50.00
Volume in Å³/atom: 20.4

Geometry as POSCAR:
```
PrNdGe2Pt4
1.0
-2.411 -3.400 -1.472
2.935 -0.613 3.248
-6.799 1.997 6.521
Pt Pr Ge Nd
4 1 2 1
direct
0.667 0.333 0.827
0.667 0.333 0.173
0.000 0.000 0.322
0.000 0.000 0.678
0.667 0.333 0.500
0.333 0.667 0.751
0.333 0.667 0.249
0.000 0.000 0.000
```